TaZn4Mo: optimized geometry, PBEsol.

Cell lengths 4.901, 4.901, 4.901 Å; angles 60.00, 60.00, 60.00 degrees
Positions (direct):
Ta (0.000, 0.000, 0.000)
Zn (0.375, 0.375, 0.375)
Zn (0.375, 0.375, 0.874)
Zn (0.375, 0.874, 0.375)
Zn (0.874, 0.375, 0.375)
Mo (0.750, 0.750, 0.750)

Computed properties:
The calculated volume is 13.87 Å³/atom. For the energy relative to the elements, the calculation gives -0.097 eV/atom. The calculation puts the final energy at -5.204 eV/atom.